Record 1
Material: Ac2CeN3
Method: DFT, PBE-GGA
State: optimized geometry

E_form (uncorrected) in kJ/mol of formula units: -626
Distance to the lowest polymorph of the same formula in meV per atom: 84

Cell lengths 7.1152, 7.1152, 12.6199 Å; angles 91.74, 91.74, 127.03 degrees
Last column: nearest neighbours and their distance in Å.
Fractional positions:
1 Ac 0.0583 0.4388 0.8586  3 N 2.53-2.59
2 Ac 0.0880 0.3697 0.4122  4 N 2.47-2.76
3 Ac 0.3697 0.0880 0.9122  4 N 2.47-2.76
4 Ac 0.4388 0.0583 0.3586  3 N 2.53-2.59
5 Ac 0.5612 0.9417 0.6414  3 N 2.53-2.59
6 Ac 0.6303 0.9120 0.0878  4 N 2.47-2.76
7 Ac 0.9120 0.6303 0.5878  4 N 2.47-2.76
8 Ac 0.9417 0.5612 0.1414  3 N 2.53-2.59
9 Ce 0.2680 0.2938 0.1514  4 N 2.23-2.41
10 Ce 0.2938 0.2680 0.6514  4 N 2.23-2.41
11 Ce 0.7062 0.7320 0.3486  4 N 2.23-2.41
12 Ce 0.7320 0.7062 0.8486  4 N 2.23-2.41
13 N 0.0134 0.9866 0.7500  2 Ce 2.24
14 N 0.0148 0.2925 0.0429  1 Ce 2.23
15 N 0.1734 0.5155 0.6227  1 Ce 2.41, 2 Ac 2.47-2.59
16 N 0.2925 0.0148 0.5429  1 Ce 2.23
17 N 0.3648 0.6352 0.2500  2 Ce 2.38
18 N 0.4845 0.8266 0.8773  1 Ce 2.41, 2 Ac 2.47-2.59
19 N 0.5155 0.1734 0.1227  1 Ce 2.41, 2 Ac 2.47-2.59
20 N 0.6352 0.3648 0.7500  2 Ce 2.38
21 N 0.7075 0.9852 0.4571  1 Ce 2.23
22 N 0.8266 0.4845 0.3773  1 Ce 2.41, 2 Ac 2.47-2.59
23 N 0.9852 0.7075 0.9571  1 Ce 2.23
24 N 0.9866 0.0134 0.2500  2 Ce 2.24


Record 2
Material: AcCe2N4
Method: DFT, PBE-GGA
State: optimized geometry

E_form (uncorrected) in kJ/mol of formula units: -747

Cell lengths 6.2130, 6.2130, 10.9709 Å; angles 90.00, 90.00, 146.00 degrees
Last column: nearest neighbours and their distance in Å.
Fractional positions:
1 Ac 0.1026 0.8974 0.7500  6 N 2.58-2.81
2 Ac 0.8974 0.1026 0.2500  6 N 2.58-2.81
3 Ce 0.3656 0.6344 0.5677  2 N 2.21-2.23
4 Ce 0.3656 0.6344 0.9323  2 N 2.21-2.23
5 Ce 0.6344 0.3656 0.0677  2 N 2.21-2.23
6 Ce 0.6344 0.3656 0.4323  2 N 2.21-2.23
7 N 0.0000 0.0000 0.0000  4 Ce 2.53
8 N 0.0000 0.0000 0.5000  4 Ce 2.53
9 N 0.2740 0.7260 0.1075  1 Ce 2.21
10 N 0.2740 0.7260 0.3925  1 Ce 2.21
11 N 0.4479 0.5521 0.7500  2 Ce 2.23
12 N 0.5521 0.4479 0.2500  2 Ce 2.23
13 N 0.7260 0.2740 0.6075  1 Ce 2.21
14 N 0.7260 0.2740 0.8925  1 Ce 2.21


Record 3
Material: AcCeN2
Method: DFT, PBE-GGA
State: optimized geometry

E_form (uncorrected) in kJ/mol of formula units: -436
Distance to the lowest polymorph of the same formula in meV per atom: 142

Cell lengths 6.6616, 6.6616, 6.6616 Å; angles 31.72, 31.72, 31.72 degrees
Last column: nearest neighbours and their distance in Å.
Fractional positions:
1 Ac 0.0000 0.0000 0.0000  6 N 2.67-2.88
2 Ce 0.1718 0.1718 0.1718  6 N 2.47-2.54
3 N 0.5803 0.5803 0.5803  3 Ce 2.54, 3 Ac 2.67
4 N 0.7705 0.7705 0.7705  3 Ce 2.47


Record 4
Material: AcCeN3
Method: DFT, PBE-GGA
State: optimized geometry

E_form (uncorrected) in kJ/mol of formula units: -310

Cell lengths 6.1650, 6.1650, 4.4335 Å; angles 90.00, 90.00, 90.00 degrees
Last column: nearest neighbours and their distance in Å.
Fractional positions:
1 Ac 0.0000 0.5000 0.0000  4 N 2.74
2 Ac 0.5000 0.0000 0.0000  4 N 2.74
3 Ce 0.0000 0.0000 0.5000  6 N 2.22-2.25
4 Ce 0.5000 0.5000 0.5000  6 N 2.22-2.25
5 N 0.0000 0.0000 0.0000  2 Ce 2.22
6 N 0.1851 0.3149 0.5000  2 Ce 2.25
7 N 0.3149 0.8149 0.5000  2 Ce 2.25
8 N 0.5000 0.5000 0.0000  2 Ce 2.22
9 N 0.6851 0.1851 0.5000  2 Ce 2.25
10 N 0.8149 0.6851 0.5000  2 Ce 2.25


Record 5
Material: AcCe2N3
Method: DFT, PBE-GGA
State: optimized geometry

E_form (uncorrected) in kJ/mol of formula units: -677

Cell lengths 6.0177, 6.0177, 6.8404 Å; angles 90.00, 90.00, 120.00 degrees
Last column: nearest neighbours and their distance in Å.
Fractional positions:
1 Ac 0.0000 0.0000 0.2500  6 N 2.98-3.03
2 Ac 0.0000 0.0000 0.7500  6 N 2.98-3.03
3 Ce 0.3333 0.6667 0.0000  6 N 2.44
4 Ce 0.3333 0.6667 0.5000  6 N 2.44
5 Ce 0.6667 0.3333 0.0000  6 N 2.44
6 Ce 0.6667 0.3333 0.5000  6 N 2.44
7 N 0.0000 0.4959 0.2500  4 Ce 2.44
8 N 0.0000 0.5041 0.7500  4 Ce 2.44
9 N 0.4959 0.0000 0.2500  4 Ce 2.44
10 N 0.4959 0.4959 0.7500  4 Ce 2.44
11 N 0.5041 0.0000 0.7500  4 Ce 2.44
12 N 0.5041 0.5041 0.2500  4 Ce 2.44


Record 6
Material: AcCeN2
Method: DFT, PBE-GGA
State: optimized geometry

E_form (uncorrected) in kJ/mol of formula units: -491
Distance to the lowest polymorph of the same formula in meV per atom: 0

Cell lengths 6.5061, 6.5061, 6.5061 Å; angles 33.02, 33.02, 33.02 degrees
Last column: nearest neighbours and their distance in Å.
Fractional positions:
1 Ac 0.0000 0.0000 0.0000  6 N 2.77
2 Ce 0.5000 0.5000 0.5000  6 N 2.50
3 N 0.2375 0.2375 0.2375  3 Ce 2.50, 3 Ac 2.77
4 N 0.7625 0.7625 0.7625  3 Ce 2.50, 3 Ac 2.77


Record 7
Material: AcCeNbN3
Method: DFT, PBE-GGA
State: optimized geometry

E_form (uncorrected) in kJ/mol of formula units: -579

Cell lengths 7.7720, 3.6191, 8.1020 Å; angles 90.00, 96.88, 90.00 degrees
Last column: nearest neighbours and their distance in Å.
Fractional positions:
1 Ac 0.1637 0.2500 0.1688  5 N 2.62-2.86
2 Ac 0.8363 0.7500 0.8312  5 N 2.62-2.86
3 Ce 0.3736 0.7500 0.8408  3 N 2.22-2.47
4 Ce 0.6264 0.2500 0.1592  3 N 2.22-2.47
5 Nb 0.1105 0.2500 0.5931  4 N 2.02-2.18
6 Nb 0.8895 0.7500 0.4069  4 N 2.02-2.18
7 N 0.1229 0.2500 0.8434  1 Nb 2.02
8 N 0.1681 0.7500 0.4853  3 Nb 2.08-2.18
9 N 0.4101 0.7500 0.1170  3 Ce 2.22-2.47
10 N 0.5899 0.2500 0.8830  3 Ce 2.22-2.47
11 N 0.8319 0.2500 0.5147  3 Nb 2.08-2.18
12 N 0.8771 0.7500 0.1566  1 Nb 2.02


Record 8
Material: Ac4Ce3NbN8
Method: DFT, PBE-GGA
State: optimized geometry

E_form (uncorrected) in kJ/mol of formula units: -1825

Cell lengths 7.3750, 7.3750, 7.3750 Å; angles 58.52, 58.52, 58.52 degrees
Last column: nearest neighbours and their distance in Å.
Fractional positions:
1 Ac 0.0000 0.0000 0.0000  6 N 2.89
2 Ac 0.0000 0.5000 0.5000  6 N 2.70-2.74
3 Ac 0.5000 0.0000 0.5000  6 N 2.70-2.74
4 Ac 0.5000 0.5000 0.0000  6 N 2.70-2.74
5 Ce 0.0000 0.0000 0.5000  6 N 2.44-2.49
6 Ce 0.0000 0.5000 0.0000  6 N 2.44-2.49
7 Ce 0.5000 0.0000 0.0000  6 N 2.44-2.49
8 Nb 0.5000 0.5000 0.5000  6 N 2.27
9 N 0.2359 0.2359 0.2359  3 Ce 2.44
10 N 0.2607 0.7205 0.7205  1 Nb 2.27, 2 Ce 2.49
11 N 0.2795 0.2795 0.7393  1 Nb 2.27, 2 Ce 2.49
12 N 0.2795 0.7393 0.2795  1 Nb 2.27, 2 Ce 2.49
13 N 0.7205 0.2607 0.7205  1 Nb 2.27, 2 Ce 2.49
14 N 0.7205 0.7205 0.2607  1 Nb 2.27, 2 Ce 2.49
15 N 0.7393 0.2795 0.2795  1 Nb 2.27, 2 Ce 2.49
16 N 0.7641 0.7641 0.7641  3 Ce 2.44